# Na3Zn2IO6

Crystalline Na3Zn2IO6 at its relaxed geometry (PBE, Alexandria).

Cell and atoms, written as POSCAR:
```
Na3Zn2IO6
1.0
2.7734 -4.8032 0.0000
2.7734 4.8032 0.0000
-1.8413 0.0000 5.4696
Na Zn I O
3 2 1 6
direct
0.0000 0.0000 0.0000
0.3272 0.6728 0.0000
0.6728 0.3272 0.0000
0.1661 0.8339 0.5000
0.8339 0.1661 0.5000
0.5000 0.5000 0.5000
0.1041 0.4302 0.2901
0.2442 0.2442 0.7103
0.4302 0.1041 0.2901
0.5698 0.8959 0.7099
0.7558 0.7558 0.2897
0.8959 0.5698 0.7099
```

Summary:
Spin magnetization ... 0.00 μB per cell
Energy relative to the elements, uncorrected ... -113.3 kJ/mol of atoms